Here is a relaxed structure of La2Dy5ErTm from Alexandria via LeMat-Bulk. Energies are from PBE-GGA.

Cell: 5.6322 10.3334 10.6905 Å, 90.00 90.00 105.81°
Positions (direct):
La: 0.8843 0.7687 0.8181
La: 0.1129 0.2258 0.7341
La: 0.1157 0.2313 0.3181
La: 0.8871 0.7742 0.2341
Dy: 0.3861 0.7723 0.0209
Dy: 0.7196 0.4391 0.8089
Dy: 0.4809 0.9618 0.7405
Dy: 0.2993 0.5986 0.7056
Dy: 0.9836 0.9673 0.5225
Dy: 0.6139 0.2277 0.5209
Dy: 0.2804 0.5609 0.3089
Dy: 0.5191 0.0382 0.2405
Dy: 0.7007 0.4014 0.2056
Dy: 0.0164 0.0327 0.0225
Er: 0.5889 0.1777 0.9620
Er: 0.4111 0.8223 0.4620
Tm: 0.8000 0.5999 0.5114
Tm: 0.2000 0.4001 0.0114

* VASP energy: -40.66 eV per formula unit
* V: 33.3 Å³/atom
* ΔH_f (0 K): 1.24 eV/f.u.